No. 1
DFT (PBE) results for a relaxed Dy8Tl2Si crystal.

a = 19.031 Å, b = 5.086 Å, c = 6.701 Å
α = 90.00°, β = 104.11°, γ = 90.00°
Space group C2/m (No. 12)
One atom of each set of equivalent atoms:
Dy: 0.019 0.000 0.275 x4
Dy: 0.088 0.500 0.953 x4
Dy: 0.150 0.500 0.487 x4
Dy: 0.212 0.000 0.816 x4
Tl: 0.182 0.000 0.254 x4
Si: 0.000 0.500 0.500 x2

***

No. 2
DFT (PBE) results for a relaxed DyTlSi crystal.

a = 4.222 Å, b = 18.742 Å, c = 3.792 Å
α = 90.00°, β = 90.00°, γ = 90.00°
Space group Cmcm (No. 63)
One atom of each set of equivalent atoms:
Dy: 0.000 0.082 0.250 x4
Tl: 0.000 0.289 0.750 x4
Si: 0.000 0.460 0.250 x4

***

No. 3
DFT (PBE) results for a relaxed Dy6TlSi2 crystal.

a = 9.503 Å, b = 9.686 Å, c = 10.315 Å
α = 90.00°, β = 90.00°, γ = 90.00°
Space group Immm (No. 71)
One atom of each set of equivalent atoms:
Dy: 0.000 0.205 0.240 x8
Dy: 0.203 0.500 0.179 x8
Dy: 0.222 0.315 0.500 x8
Tl: 0.000 0.000 0.000 x2
Tl: 0.000 0.000 0.500 x2
Si: 0.000 0.370 0.000 x4
Si: 0.000 0.500 0.384 x4

***

No. 4
DFT (PBE) results for a relaxed DyTmSi crystal.

Summary:
**Distance to the lowest polymorph of the same formula**: 219.9 meV per atom

a = 8.940 Å, b = 11.464 Å, c = 13.325 Å
α = 90.00°, β = 90.00°, γ = 90.00°
Space group Fddd (No. 70, origin choice 2)
One atom of each set of equivalent atoms:
Dy: 0.125 0.125 0.256 x16
Tm: 0.000 0.000 0.500 x16
Si: 0.125 0.326 0.125 x16

***

No. 5
DFT (PBE) results for a relaxed DyTm4Si4 crystal.

a = 8.959 Å, b = 8.959 Å, c = 5.661 Å
α = 90.00°, β = 90.00°, γ = 90.00°
Space group P4_2/n (No. 86, origin choice 2)
One atom of each set of equivalent atoms:
Dy: 0.250 0.250 0.250 x2
Tm: 0.088 0.651 0.128 x8
Si: 0.031 0.607 0.630 x8

***

No. 6
DFT (PBE) results for a relaxed DyTmSi crystal.

Summary:
**Distance to the lowest polymorph of the same formula**: 164.6 meV per atom

a = 3.366 Å, b = 3.366 Å, c = 13.061 Å
α = 90.00°, β = 90.00°, γ = 90.00°
Space group I4mm (No. 107)
One atom of each set of equivalent atoms:
Dy: 0.000 0.000 0.000 x2
Tm: 0.000 0.000 0.723 x2
Si: 0.000 0.000 0.359 x2

***

no.,formation energy (no corrections) (eV per atom)
1,-0.2285
2,-0.4246
3,-0.5052
4,-0.3089
5,-0.4723
6,-0.3642